Record 1
DFT (PBE) results for PmDy2Ag2 after structural relaxation.

```
10
Lattice="5.2539 0.0000 0.0000 0.0000 4.9138 0.0000 -0.9653 0.0000 11.0049" Properties=species:S:1:pos:R:3 pbc="T T T"
Pm 0.8070 1.2284 2.6883
Pm 3.4817 3.6853 8.3166
Dy 0.8380 3.6853 5.4363
Dy 0.9360 1.2284 9.7694
Dy 3.3526 3.6853 1.2355
Dy 3.4507 1.2284 5.5685
Ag 0.7517 3.6853 0.0661
Ag 0.8280 1.2284 6.9695
Ag 3.4606 3.6853 4.0354
Ag 3.5369 1.2284 10.9388
```

Computed properties:
Total DFT energy (no corrections) (eV/atom): -4.04
Volume (Å³ per atom): 28.4
Symmetry: P2_1/m
ΔE to the lowest computed polymorph (meV/atom): 115

=====

Record 2
DFT (PBE) results for PmDyAg after structural relaxation.

```
12
Lattice="7.1238 0.0000 0.0000 0.0000 5.1269 0.0000 0.0000 0.0000 9.1939" Properties=species:S:1:pos:R:3 pbc="T T T"
Pm 0.0931 1.2817 1.6991
Pm 3.4688 3.8452 6.2960
Pm 3.6550 1.2817 2.8978
Pm 7.0306 3.8452 7.4948
Dy 1.0875 1.2817 5.3248
Dy 2.4744 3.8452 0.7278
Dy 4.6494 1.2817 8.4660
Dy 6.0363 3.8452 3.8691
Ag 1.7325 1.2817 8.2692
Ag 1.8294 3.8452 3.6722
Ag 5.2943 1.2817 5.5216
Ag 5.3913 3.8452 0.9247
```

Computed properties:
Total DFT energy (no corrections) (eV/atom): -4.25
Volume (Å³ per atom): 28.0
Symmetry: Pnma
ΔE to the lowest computed polymorph (meV/atom): 0

=====

Record 3
DFT (PBE) results for PmDy4Ag2 after structural relaxation.

```
7
Lattice="2.4739 1.4283 10.3110 -2.4739 1.4283 10.3110 0.0000 -2.8566 10.3110" Properties=species:S:1:pos:R:3 pbc="T T T"
Pm 0.0000 0.0000 0.0000
Dy 0.0000 0.0000 6.2369
Dy 0.0000 0.0000 12.2646
Dy 0.0000 0.0000 18.6685
Dy 0.0000 0.0000 24.6961
Ag 0.0000 0.0000 3.1540
Ag 0.0000 0.0000 27.7791
```

Computed properties:
Total DFT energy (no corrections) (eV/atom): -3.95
Volume (Å³ per atom): 31.2
Symmetry: R-3m

=====

Record 4
DFT (PBE) results for PmDyAg after structural relaxation.

```
3
Lattice="-1.8070 1.8070 6.4363 1.8070 -1.8070 6.4363 1.8070 1.8070 -6.4363" Properties=species:S:1:pos:R:3 pbc="T T T"
Pm 0.0000 0.0000 0.0000
Dy 0.0000 0.0000 9.0392
Ag 0.0000 0.0000 4.3914
```

Computed properties:
Total DFT energy (no corrections) (eV/atom): -4.23
Volume (Å³ per atom): 28.0
Symmetry: I4mm
ΔE to the lowest computed polymorph (meV/atom): 17

=====

Record 5
DFT (PBE) results for Pm3Dy2Ag3 after structural relaxation.

```
8
Lattice="-1.8563 2.6905 10.9608 1.8563 -2.6905 10.9608 1.8563 2.6905 -10.9608" Properties=species:S:1:pos:R:3 pbc="T T T"
Pm 0.0000 0.0000 0.0000
Pm 1.8563 0.0000 8.2933
Pm 0.0000 2.6905 2.6676
Dy 0.0000 0.0000 5.0889
Dy 0.0000 0.0000 16.8327
Ag 1.8563 0.0000 2.6425
Ag 0.0000 0.0000 10.9608
Ag 0.0000 2.6905 8.3184
```

Computed properties:
Total DFT energy (no corrections) (eV/atom): -4.20
Volume (Å³ per atom): 27.4
Symmetry: Immm

=====

Record 6
DFT (PBE) results for Pm2DyAg6 after structural relaxation.

```
9
Lattice="8.2933 0.0000 0.0000 -4.1466 7.1822 0.0000 0.0000 0.0000 3.5008" Properties=species:S:1:pos:R:3 pbc="T T T"
Pm 0.0000 4.7881 0.0000
Pm 4.1467 2.3941 0.0000
Dy 0.0000 0.0000 0.0000
Ag -1.3751 2.3817 1.7504
Ag -2.7715 4.8005 1.7504
Ag 2.7502 0.0000 1.7504
Ag 1.3751 2.3817 1.7504
Ag 5.5431 0.0000 1.7504
Ag 2.7715 4.8005 1.7504
```

Computed properties:
Total DFT energy (no corrections) (eV/atom): -3.72
Volume (Å³ per atom): 23.2
Symmetry: P6/mmm

=====

DFT formation energy values, unit eV per atom, following the record order: -0.110; -0.178; 0.172; -0.162; -0.197; -0.254.